A plane-wave DFT calculation with PBE-GGA was carried out for an optimized crystal structure of HPb.

```
data_HPb
_space_group_name_H-M_alt 'P 42/m n m'
_space_group_IT_number 136
_space_group_name_Hall '-P 4n 2n'
_cell_length_a 5.183
_cell_length_b 5.183
_cell_length_c 5.244
_cell_angle_alpha 90.00
_cell_angle_beta 90.00
_cell_angle_gamma 90.00
loop_
_atom_site_label
_atom_site_type_symbol
_atom_site_fract_x
_atom_site_fract_y
_atom_site_fract_z
H1 H 0.195 0.195 0.000
Pb1 Pb 0.243 0.243 0.500
```

Its density of states at the Fermi level is 0.25 states/eV per atom. The total DFT energy (no corrections) is -3.089 eV per atom. For the relative energy among the computed polymorphs, the calculation gives 85.6 meV per atom. Its total magnetic moment is 0.0 Bohr magnetons per cell.